(1)
BaCrFe2Ir | PBE-GGA | relaxed

Properties
energy of formation: 1.518 eV per atom
crystal system: tetragonal
D(E_F): 8.5 states/eV/f.u.

Cell: 4.5989 5.8054 4.5989 Å, 90.00 90.00 90.00°
Closest atoms and distances in Å follow each position.
Sites, in units of the cell vectors:
Cr 0.5000 0.5000 0.5000  4 Ba 3.25
Fe 0.0000 0.0000 0.5000  2 Ir 2.30
Ir 0.0000 0.0000 0.0000  4 Fe 2.30
Ba 0.0000 0.5000 0.0000  2 Ir 2.90
Fe 0.5000 0.0000 0.0000  2 Ir 2.30


(2)
BaMgCrFe2 | PBE-GGA | relaxed

Properties
energy of formation: 2.297 eV per atom
crystal system: tetragonal
D(E_F): 9.0 states/eV/f.u.

Cell: 4.7867 5.1565 4.7867 Å, 90.00 90.00 90.00°
Closest atoms and distances in Å follow each position.
Sites, in units of the cell vectors:
Fe 0.0000 0.0000 0.5000  2 Ba 2.39
Mg 0.5000 0.5000 0.5000  4 Cr 3.38, 8 Fe 3.52
Fe 0.5000 0.0000 0.0000  2 Ba 2.39
Ba 0.0000 0.0000 0.0000  4 Fe 2.39, 2 Cr 2.58
Cr 0.0000 0.5000 0.0000  2 Ba 2.58